No. 1
# PBEsol CrInW2, relaxed
data_CrInW2
_cell_length_a 3.290
_cell_length_b 4.319
_cell_length_c 4.431
_cell_angle_alpha 90.00
_cell_angle_beta 90.00
_cell_angle_gamma 90.00
_space_group_name_H-M_alt 'P m m m'
_space_group_IT_number 47
_space_group_name_Hall '-P 2 2'
loop_
_atom_site_label
_atom_site_fract_x
_atom_site_fract_y
_atom_site_fract_z
Cr1 0.000 0.000 0.000
In1 0.500 0.500 0.000
W1 0.000 0.500 0.500
W2 0.500 0.000 0.500
# total moment: 1.92 μB per cell
# energy relative to the elements: 46.9 kJ/mol of atoms
# calculated total energy: -38.89 eV for the cell shown

***

No. 2
# PBEsol ScAg5, relaxed
data_ScAg5
_cell_length_a 4.9908
_cell_length_b 4.9908
_cell_length_c 4.7783
_cell_angle_alpha 90.00
_cell_angle_beta 90.00
_cell_angle_gamma 120.00
_space_group_name_H-M_alt 'P -6 2 m'
_space_group_IT_number 189
_space_group_name_Hall 'P -6 -2'
loop_
_atom_site_label
_atom_site_fract_x
_atom_site_fract_y
_atom_site_fract_z
Sc1 0.0000 0.0000 0.0000
Ag1 0.0000 0.6633 0.5000
Ag2 0.3333 0.6667 0.0000
# total moment: 0.00 μB per cell
# energy relative to the elements: -13.0 kJ/mol of atoms
# calculated total energy: -23.97 eV for the cell shown